First-principles (PBE-GGA) data for an optimized crystal structure of TlFePt2, as listed in Alexandria via LeMat-Bulk.

Geometry as POSCAR:
```
TlFePt2
1.0
4.0676 0.0000 0.0000
0.0000 4.0676 0.0000
0.0000 0.0000 4.0255
Tl Fe Pt
1 1 2
Cartesian
0.0000 0.0000 0.0000
2.0338 2.0338 0.0000
0.0000 2.0338 2.0127
2.0338 0.0000 2.0127
```

Energy, eV per atom: -5.652
N(E_F), states/eV/cell: 3.6
Space group: No. 123

---

First-principles (PBE-GGA) data for an optimized crystal structure of TlFePt2, as listed in Alexandria via LeMat-Bulk.

Geometry as POSCAR:
```
TlFePt2
1.0
-1.9905 1.9905 9.2256
1.9905 -1.9905 9.2256
1.9905 1.9905 -9.2256
Tl Fe Pt
2 2 4
Cartesian
0.0000 0.0000 0.0000
0.0000 1.9905 4.6128
1.9905 0.0000 4.6128
0.0000 0.0000 9.2256
0.9953 -0.9189 6.9192
1.0716 0.9953 2.3064
0.9953 2.9094 -2.3064
0.9189 0.9953 11.5320
```

Energy, eV per atom: -5.417
N(E_F), states/eV/cell: 6.3
Space group: No. 122

---

First-principles (PBE-GGA) data for an optimized crystal structure of TlFePt2, as listed in Alexandria via LeMat-Bulk.

Geometry as POSCAR:
```
TlFePt2
1.0
2.8899 0.0000 0.0000
0.0000 3.3609 0.0000
-1.2325 0.0000 7.2428
Tl Fe Pt
1 1 2
Cartesian
0.0000 0.0000 0.0000
-0.6162 0.0000 3.6214
0.8099 1.6805 2.1763
0.8475 1.6805 5.0665
```

Energy, eV per atom: -5.749
N(E_F), states/eV/cell: 2.4
Space group: No. 10

---

First-principles (PBE-GGA) data for an optimized crystal structure of TlFePt2, as listed in Alexandria via LeMat-Bulk.

Geometry as POSCAR:
```
TlFePt2
1.0
2.8984 0.0000 0.0000
0.0000 3.8909 0.0000
0.0000 0.0000 6.0450
Tl Fe Pt
1 1 2
Cartesian
0.0000 0.0000 0.0000
1.4492 1.9455 1.8231
0.0000 0.0000 2.8692
1.4492 1.9455 4.4660
```

Energy, eV per atom: -5.623
N(E_F), states/eV/cell: 3.6
Space group: No. 25

---

First-principles (PBE-GGA) data for an optimized crystal structure of Tl2FePt, as listed in Alexandria via LeMat-Bulk.

Geometry as POSCAR:
```
Tl2FePt
1.0
-1.5967 2.7154 4.6114
1.5967 -2.7154 4.6114
1.5967 2.7154 -4.6114
Tl Fe Pt
2 1 1
Cartesian
0.0000 0.0000 2.2753
0.0000 0.0000 6.9475
1.5967 0.0000 0.0000
0.0000 2.7154 0.0000
```

Energy, eV per atom: -4.350
N(E_F), states/eV/cell: 3.3
Space group: No. 71

---

First-principles (PBE-GGA) data for an optimized crystal structure of TlFePt2, as listed in Alexandria via LeMat-Bulk.

Geometry as POSCAR:
```
TlFePt2
1.0
-2.0288 2.0487 3.9844
2.0288 -2.0487 3.9844
2.0288 2.0487 -3.9844
Tl Fe Pt
1 1 2
Cartesian
0.0000 0.0000 0.0000
0.0000 0.0000 3.9844
2.0288 0.0000 1.9967
0.0000 2.0487 1.9876
```

Energy, eV per atom: -5.689
N(E_F), states/eV/cell: 3.2
Space group: No. 71

---

First-principles (PBE-GGA) data for an optimized crystal structure of TlFePt, as listed in Alexandria via LeMat-Bulk.

Geometry as POSCAR:
```
TlFePt
1.0
4.4997 0.0000 0.0000
-2.2499 3.8969 0.0000
0.0000 0.0000 2.9801
Tl Fe Pt
1 1 1
Cartesian
0.0000 0.0000 0.0000
2.2499 1.2990 1.1461
0.0000 2.5979 1.8346
```

Energy, eV per atom: -5.314
N(E_F), states/eV/cell: 2.1
Space group: No. 156

---

First-principles (PBE-GGA) data for an optimized crystal structure of TlFePt2, as listed in Alexandria via LeMat-Bulk.

Geometry as POSCAR:
```
TlFePt2
1.0
1.4732 0.8506 9.2485
-1.4732 0.8506 9.2485
0.0000 -1.7011 9.2485
Tl Fe Pt
1 1 2
Cartesian
0.0000 0.0000 0.0000
0.0000 0.0000 13.8727
0.0000 0.0000 6.6309
0.0000 0.0000 21.1145
```

Energy, eV per atom: -5.619
N(E_F), states/eV/cell: 2.8
Space group: No. 166

---

First-principles (PBE-GGA) data for an optimized crystal structure of TlFePt3, as listed in Alexandria via LeMat-Bulk.

Geometry as POSCAR:
```
TlFePt3
1.0
4.6820 0.0000 0.0000
0.0000 4.6820 0.0000
0.0000 0.0000 4.6820
Tl Fe Pt
1 1 3
Cartesian
0.0000 0.0000 0.0000
2.3410 2.3410 2.3410
0.0000 2.3410 2.3410
2.3410 0.0000 2.3410
2.3410 2.3410 0.0000
```

Energy, eV per atom: -5.099
N(E_F), states/eV/cell: 6.0
Space group: No. 221

---

First-principles (PBE-GGA) data for an optimized crystal structure of Tl2FePt, as listed in Alexandria via LeMat-Bulk.

Geometry as POSCAR:
```
Tl2FePt
1.0
1.5988 0.9231 8.7499
-1.5988 0.9231 8.7499
0.0000 -1.8462 8.7499
Tl Fe Pt
2 1 1
Cartesian
0.0000 0.0000 6.5185
0.0000 0.0000 19.7312
0.0000 0.0000 13.1249
0.0000 0.0000 0.0000
```

Energy, eV per atom: -4.350
N(E_F), states/eV/cell: 2.8
Space group: No. 166

---

First-principles (PBE-GGA) data for an optimized crystal structure of Tl2FePt, as listed in Alexandria via LeMat-Bulk.

Geometry as POSCAR:
```
Tl2FePt
1.0
4.5229 0.0000 0.0000
0.0000 4.5229 0.0000
0.0000 0.0000 3.7434
Tl Fe Pt
2 1 1
Cartesian
0.0000 2.2614 0.0000
2.2614 0.0000 0.0000
0.0000 0.0000 1.8717
2.2614 2.2614 1.8717
```

Energy, eV per atom: -4.411
N(E_F), states/eV/cell: 3.5
Space group: No. 123

---

First-principles (PBE-GGA) data for an optimized crystal structure of Tl2Fe2Pt, as listed in Alexandria via LeMat-Bulk.

Geometry as POSCAR:
```
Tl2Fe2Pt
1.0
-1.7002 1.7002 7.9816
1.7002 -1.7002 7.9816
1.7002 1.7002 -7.9816
Tl Fe Pt
2 2 1
Cartesian
0.0000 0.0000 1.6890
0.0000 0.0000 14.2743
1.7002 0.0000 3.9908
0.0000 1.7002 3.9908
0.0000 0.0000 7.9816
```

Energy, eV per atom: -5.125
N(E_F), states/eV/cell: 3.2
Space group: No. 139

---

First-principles (PBE-GGA) data for an optimized crystal structure of Tl2FePt, as listed in Alexandria via LeMat-Bulk.

Geometry as POSCAR:
```
Tl2FePt
1.0
3.3132 0.0000 0.0000
0.0000 3.3132 0.0000
0.0000 0.0000 6.9658
Tl Fe Pt
2 1 1
Cartesian
0.0000 0.0000 1.7206
0.0000 0.0000 5.2452
1.6566 1.6566 0.0000
1.6566 1.6566 3.4829
```

Energy, eV per atom: -4.387
N(E_F), states/eV/cell: 3.7
Space group: No. 123

---

First-principles (PBE-GGA) data for an optimized crystal structure of TlFePt2, as listed in Alexandria via LeMat-Bulk.

Geometry as POSCAR:
```
TlFePt2
1.0
2.9217 0.0000 0.0000
0.0000 2.9217 0.0000
0.0000 0.0000 7.9285
Tl Fe Pt
1 1 2
Cartesian
0.0000 0.0000 0.0000
0.0000 0.0000 3.9643
1.4609 1.4609 2.2792
1.4609 1.4609 5.6494
```

Energy, eV per atom: -5.730
N(E_F), states/eV/cell: 3.1
Space group: No. 123

---

First-principles (PBE-GGA) data for an optimized crystal structure of Tl2FePt2, as listed in Alexandria via LeMat-Bulk.

Geometry as POSCAR:
```
Tl2FePt2
1.0
6.7161 0.0000 0.0000
0.0000 6.7161 0.0000
0.0000 0.0000 4.4038
Tl Fe Pt
4 2 4
Cartesian
1.1547 2.2034 0.0000
2.2034 5.5614 0.0000
4.5127 1.1547 0.0000
5.5614 4.5127 0.0000
0.0000 0.0000 2.2019
3.3580 3.3580 2.2019
0.9663 4.3244 2.2019
2.3917 0.9663 2.2019
4.3244 5.7497 2.2019
5.7497 2.3917 2.2019
```

Energy, eV per atom: -4.871
N(E_F), states/eV/cell: 9.3
Space group: No. 127

---

Listing total moment for the structures above in their given order: 3.18 3.28 3.65 3.31 2.90 3.37 3.05 3.53 3.55 2.23 2.55 5.22 2.71 3.59 3.43 μB/f.u..
Listing formation enthalpy at 0 K for the structures above in their given order: 76 311 -21 105 459 39 309 109 692 459 398 415 422 -2 185 meV/atom.
Listing mass density for the structures above in their given order: 16.2 14.8 15.4 15.8 13.7 16.3 14.5 15.5 13.7 14.1 14.3 12.9 14.3 16.0 14.3 g cm⁻³.